VASP calculation (PBE) on a relaxed structure of Pm2Tm2Tl.

Unit cell a=5.4449 b=5.4449 c=12.1402 alpha=90.00 beta=90.00 gamma=120.00
Space group P6_3/mmc (No. 194)
Inequivalent atoms, fractional coordinates:
Pm 0.3333 0.6667 0.0863 x4
Tm 0.0000 0.0000 0.0000 x2
Tm 0.3333 0.6667 0.7500 x2
Tl 0.0000 0.0000 0.2500 x2

Energy above the most stable polymorph in this dataset, meV/atom: 112
ΔH_f (0 K), eV per atom: 0.01
D(E_F), states/eV/f.u.: 7.10